Entry 1:
Computed, not measured: crystalline ZrCo2BMo at its relaxed geometry at the GGA-PBEsol level of DFT.

Cell: 3.860 3.860 4.211 Å, 90.00 90.00 90.00°
Last column: magnetic moment on the atom in μB.
Sites, in units of the cell vectors:
Mo 0.000 0.000 0.500  0.10
B 0.000 0.000 0.000  -0.01
Co 0.000 0.500 0.000  0.20
Co 0.500 0.000 0.000  0.20
Zr 0.500 0.500 0.500  -0.02

Results
- DOS at the Fermi energy: 4.68 states/eV/cell
- Total DFT energy (no corrections): -44.35 eV for the cell shown
- Space-group type: P4/mmm, No. 123
- Spin magnetization: 0.46 μB per formula unit
- Formation enthalpy at 0 K: -200 meV per atom
- Density: 8.4 g/cm3

Entry 2:
Computed, not measured: crystalline Ir2RuW at its relaxed geometry at the GGA-PBEsol level of DFT.

Cell: 2.731 4.680 4.706 Å, 109.09 90.00 90.00°
Sites, in units of the cell vectors:
Ir 0.000 0.000 0.000
Ir 0.500 0.500 0.000
Ru 0.500 0.000 0.500
W 0.000 0.500 0.500

Results
- DOS at the Fermi energy: 3.38 states/eV/cell
- Total DFT energy (no corrections): -44.12 eV for the cell shown
- Space-group type: P2/m, No. 10
- Spin magnetization: 0.00 μB per formula unit
- Formation enthalpy at 0 K: -124 meV per atom
- Density: 19.6 g/cm3

Entry 3:
Computed, not measured: crystalline LaOsBr2 at its relaxed geometry at the GGA-PBEsol level of DFT.

Cell: 3.577 4.564 7.206 Å, 92.76 104.37 90.00°
Sites, in units of the cell vectors:
Os 0.500 0.500 0.000
Br 0.340 0.247 0.681
Br 0.660 0.753 0.319
La 0.000 0.000 0.000

Results
- DOS at the Fermi energy: 3.52 states/eV/cell
- Total DFT energy (no corrections): -23.00 eV for the cell shown
- Space-group type: C2/m, No. 12
- Spin magnetization: 0.00 μB per formula unit
- Uncorrected formation energy: -0.424 eV/atom
- Density: 7.1 g/cm3

Entry 4:
Computed, not measured: crystalline TiPt3 at its relaxed geometry at the GGA-PBEsol level of DFT.

Cell: 3.896 3.896 3.896 Å, 90.00 90.00 90.00°
Sites, in units of the cell vectors:
Pt 0.000 0.500 0.500
Pt 0.500 0.000 0.500
Pt 0.500 0.500 0.000
Ti 0.000 0.000 0.000

Results
- DOS at the Fermi energy: 1.07 states/eV/cell
- Total DFT energy (no corrections): -32.71 eV for the cell shown
- Space-group type: Pm-3m, No. 221
- Spin magnetization: 0.00 μB per formula unit
- Formation enthalpy at 0 K: -875 meV per atom
- Density: 17.8 g/cm3